(1)
First-principles (PBE) data for a relaxed structure of Tb2Sm3Zn2, as listed in the Alexandria database.

Cell lengths 3.6340, 30.5325, 3.5831 Å; angles 90.00, 90.00, 90.00 degrees
Last column: nearest neighbours and their distance in Å.
Space group Cmmm (No. 65)
Inequivalent atoms, fractional coordinates:
Tb 0.0000 0.2011 0.0000 (multiplicity 4)  4 Zn 3.06
Sm 0.0000 0.0859 0.0000 (multiplicity 4)  4 Zn 3.14, 1 Tb 3.52
Sm 0.0000 0.5000 0.5000 (multiplicity 2)  12 Sm 3.58-3.66
Zn 0.0000 0.3542 0.5000 (multiplicity 4)  4 Tb 3.06, 4 Sm 3.14

Summary:
energy relative to the elements	-0.12	eV/atom

(2)
First-principles (PBE) data for a relaxed structure of Tb3SmZn8, as listed in the Alexandria database.

Cell lengths 5.5838, 5.5838, 8.6604 Å; angles 90.00, 90.00, 120.00 degrees
Last column: nearest neighbours and their distance in Å.
Space group P3m1 (No. 156)
Inequivalent atoms, fractional coordinates:
Tb 0.0000 0.0000 0.0000 (multiplicity 1)  12 Zn 3.10-3.26, 4 Tb 3.35-3.37
Tb 0.0000 0.0000 0.3869 (multiplicity 1)  12 Zn 3.10-3.27, 1 Tb 3.35, 3 Sm 3.36
Tb 0.3333 0.6667 0.8849 (multiplicity 1)  12 Zn 3.09-3.26, 1 Sm 3.36, 3 Tb 3.37
Sm 0.3333 0.6667 0.4965 (multiplicity 1)  12 Zn 3.11-3.27, 4 Tb 3.36
Zn 0.0002 0.5001 0.1899 (multiplicity 3)  6 Zn 2.69-2.79
Zn 0.3312 0.1656 0.6933 (multiplicity 3)  6 Zn 2.69-2.81
Zn 0.6667 0.3333 0.4426 (multiplicity 1)  6 Zn 2.71-2.72
Zn 0.6667 0.3333 0.9412 (multiplicity 1)  6 Zn 2.69

Summary:
energy relative to the elements	-0.32	eV/atom